w:
DFT (PBE) results for crystalline NbZnCr3 at its relaxed geometry.

Properties
- DOS at the Fermi energy: 5.24 states/eV per cell

Unit cell a=4.511 b=4.511 c=4.511 alpha=90.00 beta=90.00 gamma=90.00
Fractional positions:
Nb (0.000, 0.000, 0.000)
Zn (0.500, 0.500, 0.500)
Cr (0.000, 0.500, 0.500)
Cr (0.500, 0.000, 0.500)
Cr (0.500, 0.500, 0.000)


x:
DFT (PBE) results for crystalline NbZnCr3 at its relaxed geometry.

Properties
- DOS at the Fermi energy: 2.52 states/eV per cell

Unit cell a=4.720 b=4.720 c=4.720 alpha=90.00 beta=90.00 gamma=90.00
Fractional positions:
Nb (0.000, 0.000, 0.000)
Zn (0.500, 0.500, 0.500)
Cr (0.000, 0.000, 0.500)
Cr (0.000, 0.500, 0.000)
Cr (0.500, 0.000, 0.000)


Which structure is the most stable? The one labeled w.


w:
DFT (PBE) results for crystalline ZrNbCr at its relaxed geometry.

Properties
- DOS at the Fermi energy: 7.91 states/eV per cell

Unit cell a=6.345 b=5.372 c=5.083 alpha=74.68 beta=54.73 gamma=50.59
Fractional positions:
Zr (0.170, 0.830, 0.170)
Zr (0.830, 0.170, 0.830)
Nb (0.332, 0.332, 0.668)
Nb (0.668, 0.668, 0.332)
Cr (0.250, 0.250, 0.250)
Cr (0.750, 0.750, 0.750)


x:
DFT (PBE) results for crystalline ZrNbCr at its relaxed geometry.

Properties
- DOS at the Fermi energy: 7.17 states/eV per cell

Unit cell a=4.635 b=4.467 c=5.513 alpha=90.00 beta=112.26 gamma=90.00
Fractional positions:
Zr (0.000, 0.000, 0.000)
Zr (0.500, 0.500, 0.000)
Nb (0.181, 0.500, 0.363)
Nb (0.819, 0.500, 0.637)
Cr (0.334, 0.000, 0.623)
Cr (0.666, 0.000, 0.377)


y:
DFT (PBE) results for crystalline ZrNbCr at its relaxed geometry.

Properties
- DOS at the Fermi energy: 3.77 states/eV per cell

Unit cell a=5.601 b=5.601 c=5.601 alpha=146.78 beta=146.78 gamma=47.69
Fractional positions:
Zr (0.000, 0.000, 0.000)
Nb (0.304, 0.304, 0.000)
Cr (0.672, 0.672, 0.000)


z:
DFT (PBE) results for crystalline ZrNbCr at its relaxed geometry.

Properties
- DOS at the Fermi energy: 8.24 states/eV per cell

Unit cell a=5.303 b=5.303 c=5.303 alpha=120.84 beta=117.18 gamma=91.75
Fractional positions:
Zr (0.370, 0.120, 0.250)
Zr (0.630, 0.880, 0.750)
Nb (0.000, 0.500, 0.500)
Nb (0.500, 0.500, 0.000)
Cr (0.000, 0.000, 0.500)
Cr (0.000, 0.500, 0.000)


Which structure is the most stable? The one labeled z.


w:
DFT (PBE) results for crystalline ZrNbCr at its relaxed geometry.

Properties
- DOS at the Fermi energy: 7.06 states/eV per cell

Unit cell a=4.371 b=5.394 c=5.509 alpha=66.53 beta=66.87 gamma=66.19
Fractional positions:
Zr (0.000, 0.000, 0.000)
Zr (0.293, 0.036, 0.379)
Nb (0.646, 0.519, 0.186)
Nb (0.945, 0.554, 0.559)
Cr (0.329, 0.491, 0.852)
Cr (0.626, 0.049, 0.699)


x:
DFT (PBE) results for crystalline ZrNbCr at its relaxed geometry.

Properties
- DOS at the Fermi energy: 7.39 states/eV per cell

Unit cell a=5.254 b=5.254 c=5.679 alpha=121.69 beta=121.69 gamma=58.39
Fractional positions:
Zr (0.000, 0.000, 0.000)
Zr (0.620, 0.620, 0.867)
Nb (0.238, 0.238, 0.732)
Nb (0.620, 0.620, 0.369)
Cr (0.119, 0.627, 0.370)
Cr (0.627, 0.119, 0.370)


Which structure is the most stable? The one labeled x.


w:
DFT (PBE) results for crystalline ZrNbCr at its relaxed geometry.

Properties
- DOS at the Fermi energy: 6.74 states/eV per cell

Unit cell a=5.452 b=5.452 c=5.833 alpha=121.15 beta=121.15 gamma=47.21
Fractional positions:
Zr (0.176, 0.176, 0.095)
Zr (0.824, 0.824, 0.905)
Nb (0.473, 0.473, 0.715)
Nb (0.527, 0.527, 0.285)
Cr (0.150, 0.150, 0.561)
Cr (0.850, 0.850, 0.439)


x:
DFT (PBE) results for crystalline ZrNbCr at its relaxed geometry.

Properties
- DOS at the Fermi energy: 6.84 states/eV per cell

Unit cell a=3.186 b=5.468 c=6.875 alpha=112.49 beta=90.47 gamma=105.92
Fractional positions:
Zr (0.000, 0.000, 0.000)
Zr (0.335, 0.649, 0.176)
Nb (0.017, 0.012, 0.556)
Nb (0.689, 0.354, 0.394)
Cr (0.332, 0.642, 0.687)
Cr (0.678, 0.345, 0.826)


Which structure is the most stable? The one labeled w.


w:
DFT (PBE) results for crystalline ZrNb2Cr at its relaxed geometry.

Properties
- DOS at the Fermi energy: 5.63 states/eV per cell

Unit cell a=3.144 b=3.144 c=7.201 alpha=90.00 beta=90.00 gamma=90.00
Fractional positions:
Zr (0.000, 0.000, 0.000)
Nb (0.500, 0.500, 0.292)
Nb (0.500, 0.500, 0.708)
Cr (0.000, 0.000, 0.500)


x:
DFT (PBE) results for crystalline ZrNb2Cr at its relaxed geometry.

Properties
- DOS at the Fermi energy: 7.01 states/eV per cell

Unit cell a=4.620 b=4.620 c=4.620 alpha=60.00 beta=60.00 gamma=60.00
Fractional positions:
Zr (0.000, 0.000, 0.000)
Nb (0.250, 0.250, 0.250)
Nb (0.750, 0.750, 0.750)
Cr (0.500, 0.500, 0.500)


Which structure is the most stable? The one labeled w.